PBE with a Hubbard U MgNi2BO4, relaxed; space group = P2/m, No. 10; E = -5.367 eV/atom; total magnetic moment = 0.37 μB per atom
1.0
5.4128 0.0000 0.0000
0.0000 2.5758 0.0000
-2.7010 0.0000 5.3830
Mg Ni B O
1 2 1 4
Direct
0.0000 0.0000 0.0000
0.0000 0.5000 0.5000
0.5000 0.0000 0.0000
0.5000 0.5000 0.5000
0.1682 0.5000 0.8463
0.4069 0.0000 0.3045
0.5931 0.0000 0.6955
0.8318 0.5000 0.1537

PBE with a Hubbard U MgNiB2O, relaxed; space group = P4/mmm, No. 123; E = -3.451 eV/atom; total magnetic moment = 0.13 μB per atom
1.0
3.8523 0.0000 0.0000
0.0000 3.8523 0.0000
0.0000 0.0000 3.7839
Mg Ni B O
1 1 2 1
Direct
0.0000 0.0000 0.0000
0.5000 0.5000 0.0000
0.0000 0.5000 0.5000
0.5000 0.0000 0.5000
0.5000 0.5000 0.5000

PBE with a Hubbard U Mg2NiB2O6, relaxed; space group = P-3, No. 147; E = -6.614 eV/atom; total magnetic moment = 0.18 μB per atom
1.0
4.9513 0.0000 0.0000
-2.4756 4.2879 0.0000
0.0000 0.0000 5.4979
Mg Ni B O
2 1 2 6
Direct
0.3333 0.6667 0.3171
0.6667 0.3333 0.6829
0.0000 0.0000 0.0000
0.3333 0.6667 0.7838
0.6667 0.3333 0.2162
0.0676 0.6916 0.7706
0.3084 0.3760 0.7706
0.3760 0.0676 0.2294
0.6240 0.9324 0.7706
0.6916 0.6240 0.2294
0.9324 0.3084 0.2294